one) # SrPmH PBE-GGA optimized geometry
# Density of states at the Fermi level in states/eV/cell: 3.31
data_SrPmH
_chemical_formula_sum 'Sr1 Pm1 H1'
_cell_length_a 3.8322
_cell_length_b 3.8322
_cell_length_c 6.2626
_cell_angle_alpha 90.00
_cell_angle_beta 90.00
_cell_angle_gamma 120.00
_symmetry_space_group_name_H-M 'P 1'
_symmetry_Int_Tables_number 1
loop_
_symmetry_equiv_pos_as_xyz
'x,y,z'
loop_
_atom_site_label
_atom_site_type_symbol
_atom_site_fract_x
_atom_site_fract_y
_atom_site_fract_z
Sr1 Sr 0.0000 0.0000 0.0000
Pm1 Pm 0.3333 0.6667 0.4818
H1 H 0.6667 0.3333 0.2766


two) # SrPmH PBE-GGA optimized geometry
# Density of states at the Fermi level in states/eV/cell: 6.15
data_SrPmH
_chemical_formula_sum 'Sr2 Pm2 H2'
_cell_length_a 6.5611
_cell_length_b 6.5611
_cell_length_c 7.2691
_cell_angle_alpha 92.88
_cell_angle_beta 92.88
_cell_angle_gamma 32.63
_symmetry_space_group_name_H-M 'P 1'
_symmetry_Int_Tables_number 1
loop_
_symmetry_equiv_pos_as_xyz
'x,y,z'
loop_
_atom_site_label
_atom_site_type_symbol
_atom_site_fract_x
_atom_site_fract_y
_atom_site_fract_z
Sr1 Sr 0.1240 0.1240 0.3534
Sr2 Sr 0.8760 0.8760 0.6466
Pm1 Pm 0.3623 0.3623 0.1091
Pm2 Pm 0.6377 0.6377 0.8909
H1 H 0.2573 0.2573 0.8384
H2 H 0.7427 0.7427 0.1616


Top of the stability list: two), leading by 0.026 eV/atom.